No. 1
Compound: NbGa2Fe
Source: OQMD
Functional: GGA-PBE
Structure: optimized geometry

Cell: 4.3711 4.3711 4.3711 Å, 60.00 60.00 60.00°
Positions (direct):
Ga  0.2500  0.2500  0.2500
Nb  0.7500  0.7500  0.7500
Fe  0.5000  0.5000  0.5000
Ga  0.0000  0.0000  0.0000

Values from the calculation:
Symmetry: No. 216
Crystal system: cubic
VASP energy, eV/f.u.: -24.4

=====

No. 2
Compound: Tb2Si
Source: OQMD
Functional: GGA-PBE
Structure: optimized geometry

Cell: 7.8771 7.8771 4.2086 Å, 90.00 90.00 120.00°
Each line ends with the local moment (μB).
Positions (direct):
Si  0.6667  0.3333  0.0000  -0.01
Tb  0.0000  0.5951  0.5000  0.14
Tb  0.2649  0.0000  0.0000  0.15
Si  0.0000  0.0000  0.5000  -0.01
Si  0.3333  0.6667  0.0000  -0.01
Tb  0.4049  0.4049  0.5000  0.14
Tb  0.5951  0.0000  0.5000  0.14
Tb  0.0000  0.2649  0.0000  0.15
Tb  0.7351  0.7351  0.0000  0.16

Values from the calculation:
Symmetry: No. 189
Crystal system: hexagonal
VASP energy, eV/f.u.: -16.3

=====

No. 3
Compound: MgSc2Tc
Source: OQMD
Functional: GGA-PBE
Structure: optimized geometry

Cell: 3.3046 3.3046 7.4801 Å, 90.00 90.00 90.00°
Positions (direct):
Tc  0.0000  0.0000  0.5000
Sc  0.5000  0.5000  0.6997
Sc  0.5000  0.5000  0.3003
Mg  0.0000  0.0000  0.0000

Values from the calculation:
Symmetry: No. 123
Crystal system: tetragonal
VASP energy, eV/f.u.: -25.4

=====

> The lowest VASP energy belongs to which entry?

MgSc2Tc

=====

> What is the VASP energy in the first record?

-24.4 eV/f.u.

=====

> What is the VASP energy in the first record?

-24.4 eV/f.u.